# 1
# Nd7Sm2Cd2

Nd7Sm2Cd2 after structural relaxation (GGA-PBE, the Alexandria database).

CIF file:
```
data_Nd7Sm2Cd2
_cell_length_a 6.7396
_cell_length_b 7.7434
_cell_length_c 7.7434
_cell_angle_alpha 101.19
_cell_angle_beta 75.31
_cell_angle_gamma 75.31
_space_group_name_H-M_alt 'P 1'
_space_group_IT_number 1
loop_
_space_group_symop_operation_xyz
'x,y,z'
loop_
_atom_site_label
_atom_site_type_symbol
_atom_site_fract_x
_atom_site_fract_y
_atom_site_fract_z
_atom_site_occupancy
Nd1 Nd 0.8033 0.4268 0.9383 1
Sm1 Sm 0.5000 0.8613 0.1387 1
Cd1 Cd 0.9714 0.3348 0.3348 1
Cd2 Cd 0.0286 0.6652 0.6652 1
Nd2 Nd 0.8033 0.9383 0.4268 1
Nd3 Nd 0.5537 0.6495 0.6495 1
Nd4 Nd 0.0000 0.0000 0.0000 1
Nd5 Nd 0.1967 0.0617 0.5732 1
Nd6 Nd 0.1967 0.5732 0.0617 1
Nd7 Nd 0.4463 0.3505 0.3505 1
Sm2 Sm 0.5000 0.1387 0.8613 1
```

Computed properties:
Density of states at the Fermi level, states/eV per cell: 14.017
Energy of formation, kJ per mole of atoms: 8
Symmetry: No. 12
Total moment, μB/f.u.: 0.0

=====

# 2
# Rb2OsN

Rb2OsN after structural relaxation (GGA-PBE, the Alexandria database).

CIF file:
```
data_Rb2OsN
_cell_length_a 12.1690
_cell_length_b 12.1690
_cell_length_c 8.8084
_cell_angle_alpha 46.31
_cell_angle_beta 46.31
_cell_angle_gamma 90.00
_space_group_name_H-M_alt 'P 1'
_space_group_IT_number 1
loop_
_space_group_symop_operation_xyz
'x,y,z'
loop_
_atom_site_label
_atom_site_type_symbol
_atom_site_fract_x
_atom_site_fract_y
_atom_site_fract_z
_atom_site_occupancy
N1 N 0.2500 0.7500 0.5000 1
Rb1 Rb 0.3360 0.6250 0.2500 1
N2 N 0.5000 0.5000 0.0000 1
Rb2 Rb 0.8750 0.6640 0.7500 1
Os1 Os 0.0000 0.0000 0.0000 1
Rb3 Rb 0.4140 0.1250 0.2500 1
Rb4 Rb 0.3750 0.5860 0.7500 1
Os2 Os 0.7500 0.2500 0.5000 1
```

Computed properties:
Density of states at the Fermi level, states/eV per cell: 3.036
Formation energy from raw total energies, eV/f.u.: 1.34
Symmetry: No. 122
Total moment, μB/f.u.: 0.0

=====

no.,volume (Å³/cell)
1,363.4
2,278.9